(1)
The following is a DFT calculation (PBE) of a geometry-optimized BaPtRhO6 structure.

Geometry as POSCAR:
```
BaPtRhO6
1.0
5.346 0.000 0.000
-2.673 4.630 0.000
0.000 0.000 5.688
Ba Pt Rh O
1 1 1 6
Direct
0.000 0.000 0.000
0.667 0.333 0.500
0.333 0.667 0.500
0.002 0.388 0.693
0.002 0.614 0.307
0.386 0.388 0.307
0.386 0.998 0.693
0.612 0.614 0.693
0.612 0.998 0.307
```

Fermi-level density of states = 7.50 states/eV/cell
formation energy without anion corrections = -1.083 eV per atom

***

(2)
The following is a DFT calculation (PBE) of a geometry-optimized BaPtRhO4 structure.

Geometry as POSCAR:
```
BaPtRhO4
1.0
4.378 -5.679 0.000
4.378 5.679 0.000
-4.356 0.000 4.400
Ba Pt Rh O
2 2 2 8
Direct
0.097 0.903 0.750
0.903 0.097 0.250
0.500 0.500 0.000
0.500 0.500 0.500
0.000 0.500 0.000
0.500 0.000 0.500
0.234 0.763 0.447
0.237 0.766 0.053
0.238 0.364 0.052
0.364 0.238 0.552
0.636 0.762 0.448
0.762 0.636 0.948
0.763 0.234 0.947
0.766 0.237 0.553
```

Fermi-level density of states = 7.77 states/eV/cell
formation energy without anion corrections = -1.106 eV per atom

***

(3)
The following is a DFT calculation (PBE) of a geometry-optimized Ba2RuPt3O12 structure.

Geometry as POSCAR:
```
Ba2RuPt3O12
1.0
3.570 2.061 5.872
-3.570 2.061 5.872
0.000 -4.122 5.872
Ba Ru Pt O
2 1 3 12
Direct
0.151 0.151 0.151
0.849 0.849 0.849
0.500 0.500 0.500
0.000 0.500 0.500
0.500 0.000 0.500
0.500 0.500 0.000
0.161 0.161 0.563
0.161 0.563 0.161
0.181 0.574 0.574
0.426 0.426 0.819
0.426 0.819 0.426
0.437 0.839 0.839
0.563 0.161 0.161
0.574 0.181 0.574
0.574 0.574 0.181
0.819 0.426 0.426
0.839 0.437 0.839
0.839 0.839 0.437
```

Fermi-level density of states = 7.24 states/eV/cell
formation energy without anion corrections = -1.089 eV per atom

***

(4)
The following is a DFT calculation (PBE) of a geometry-optimized BaRuPtO6 structure.

Geometry as POSCAR:
```
BaRuPtO6
1.0
5.355 0.000 0.000
-2.678 4.638 0.000
0.000 0.000 5.687
Ba Ru Pt O
1 1 1 6
Direct
0.000 0.000 0.000
0.333 0.667 0.500
0.667 0.333 0.500
0.007 0.387 0.690
0.007 0.620 0.310
0.380 0.387 0.310
0.380 0.993 0.690
0.613 0.620 0.690
0.613 0.993 0.310
```

Fermi-level density of states = 4.07 states/eV/cell
formation energy without anion corrections = -1.231 eV per atom

***

(5)
The following is a DFT calculation (PBE) of a geometry-optimized BaRu2PtO8 structure.

Geometry as POSCAR:
```
BaRu2PtO8
1.0
5.316 0.000 0.000
-2.658 4.604 0.000
0.000 0.000 7.700
Ba Ru Pt O
1 2 1 8
Direct
0.000 0.000 0.000
0.333 0.667 0.724
0.667 0.333 0.276
0.000 0.000 0.500
0.021 0.309 0.672
0.288 0.979 0.672
0.309 0.288 0.328
0.333 0.667 0.958
0.667 0.333 0.042
0.691 0.712 0.672
0.712 0.021 0.328
0.979 0.691 0.328
```

Fermi-level density of states = 6.06 states/eV/cell
formation energy without anion corrections = -1.001 eV per atom

***

(6)
The following is a DFT calculation (PBE) of a geometry-optimized Ba3YRuPtO9 structure.

Geometry as POSCAR:
```
Ba3YRuPtO9
1.0
5.966 0.000 0.000
-2.983 5.167 0.000
0.000 0.000 14.964
Ba Y Ru Pt O
6 2 2 2 18
Direct
0.000 0.000 0.242
0.000 0.000 0.758
0.333 0.667 0.083
0.333 0.667 0.399
0.667 0.333 0.601
0.667 0.333 0.917
0.000 0.000 0.000
0.000 0.000 0.500
0.333 0.667 0.657
0.667 0.333 0.343
0.333 0.667 0.837
0.667 0.333 0.163
0.031 0.516 0.746
0.174 0.348 0.914
0.174 0.826 0.914
0.176 0.351 0.586
0.176 0.824 0.586
0.348 0.174 0.086
0.351 0.176 0.414
0.484 0.516 0.746
0.484 0.969 0.746
0.516 0.031 0.254
0.516 0.484 0.254
0.649 0.824 0.586
0.652 0.826 0.914
0.824 0.176 0.414
0.824 0.649 0.414
0.826 0.174 0.086
0.826 0.652 0.086
0.969 0.484 0.254
```

Fermi-level density of states = 1.90 states/eV/cell
formation energy without anion corrections = -2.106 eV per atom

***

(7)
The following is a DFT calculation (PBE) of a geometry-optimized BaPtS2O structure.

Geometry as POSCAR:
```
BaPtS2O
1.0
5.039 0.000 0.000
0.000 5.039 0.000
0.000 0.000 3.983
Ba Pt S O
1 1 2 1
Direct
0.000 0.000 0.000
0.500 0.500 0.500
0.000 0.500 0.500
0.500 0.000 0.500
0.500 0.500 0.000
```

Fermi-level density of states = 4.13 states/eV/cell
formation energy without anion corrections = -0.832 eV per atom

***

(8)
The following is a DFT calculation (PBE) of a geometry-optimized Ba2SbPt3O12 structure.

Geometry as POSCAR:
```
Ba2SbPt3O12
1.0
3.566 2.059 5.966
-3.566 2.059 5.966
0.000 -4.118 5.966
Ba Sb Pt O
2 1 3 12
Direct
0.124 0.124 0.124
0.876 0.876 0.876
0.500 0.500 0.500
0.000 0.500 0.500
0.500 0.000 0.500
0.500 0.500 0.000
0.162 0.586 0.586
0.167 0.167 0.590
0.167 0.590 0.167
0.410 0.833 0.833
0.414 0.414 0.838
0.414 0.838 0.414
0.586 0.162 0.586
0.586 0.586 0.162
0.590 0.167 0.167
0.833 0.410 0.833
0.833 0.833 0.410
0.838 0.414 0.414
```

Fermi-level density of states = 9.15 states/eV/cell
formation energy without anion corrections = -1.175 eV per atom

***

(9)
The following is a DFT calculation (PBE) of a geometry-optimized BaSb2PtO8 structure.

Geometry as POSCAR:
```
BaSb2PtO8
1.0
4.997 0.000 0.000
0.312 5.007 0.000
0.019 0.021 6.630
Ba Sb Pt O
1 2 1 8
Direct
0.000 0.000 0.000
0.500 0.499 0.258
0.500 0.501 0.742
0.000 0.000 0.500
0.174 0.737 0.706
0.175 0.739 0.294
0.336 0.256 0.500
0.390 0.294 0.001
0.610 0.706 0.999
0.664 0.744 0.500
0.825 0.261 0.706
0.826 0.263 0.294
```

Fermi-level density of states = 0.22 states/eV/cell
formation energy without anion corrections = -1.159 eV per atom

***

(10)
The following is a DFT calculation (PBE) of a geometry-optimized Ba3ScPt2O9 structure.

Geometry as POSCAR:
```
Ba3ScPt2O9
1.0
5.823 0.000 0.000
-2.911 5.043 0.000
0.000 0.000 7.148
Ba Sc Pt O
3 1 2 9
Direct
0.000 0.000 0.000
0.333 0.667 0.673
0.667 0.333 0.327
0.000 0.000 0.500
0.333 0.667 0.170
0.667 0.333 0.830
0.000 0.500 0.000
0.171 0.341 0.330
0.171 0.829 0.330
0.341 0.171 0.670
0.500 0.000 0.000
0.500 0.500 0.000
0.659 0.829 0.330
0.829 0.171 0.670
0.829 0.659 0.670
```

Fermi-level density of states = 15.05 states/eV/cell
formation energy without anion corrections = -1.920 eV per atom

***

(11)
The following is a DFT calculation (PBE) of a geometry-optimized BaScPtO4 structure.

Geometry as POSCAR:
```
BaScPtO4
1.0
-3.231 3.293 5.238
3.231 -3.293 5.238
3.231 3.293 -5.238
Ba Sc Pt O
2 2 2 8
Direct
0.366 0.116 0.250
0.634 0.884 0.750
0.000 0.000 0.500
0.000 0.500 0.000
0.000 0.500 0.500
0.500 0.500 0.000
0.199 0.745 0.454
0.209 0.255 0.954
0.213 0.269 0.556
0.213 0.657 0.944
0.787 0.343 0.056
0.787 0.731 0.444
0.791 0.745 0.046
0.801 0.255 0.546
```

formation energy without anion corrections = -2.006 eV per atom

***

(12)
The following is a DFT calculation (PBE) of a geometry-optimized BaScPt2O8 structure.

Geometry as POSCAR:
```
BaScPt2O8
1.0
5.491 0.000 0.000
-2.746 4.755 0.000
0.000 0.000 6.894
Ba Sc Pt O
1 1 2 8
Direct
0.000 0.000 0.000
0.000 0.000 0.500
0.333 0.667 0.453
0.667 0.333 0.547
0.057 0.369 0.638
0.312 0.943 0.638
0.333 0.667 0.160
0.369 0.312 0.362
0.631 0.688 0.638
0.667 0.333 0.840
0.688 0.057 0.362
0.943 0.631 0.362
```

Fermi-level density of states = 3.76 states/eV/cell
formation energy without anion corrections = -0.980 eV per atom

***

(13)
The following is a DFT calculation (PBE) of a geometry-optimized Ba8Sc3Pt4O18 structure.

Geometry as POSCAR:
```
Ba8Sc3Pt4O18
1.0
8.277 0.000 0.000
0.000 8.277 0.000
0.000 0.000 8.277
Ba Sc Pt O
8 3 4 18
Direct
0.239 0.239 0.239
0.239 0.239 0.761
0.239 0.761 0.239
0.239 0.761 0.761
0.761 0.239 0.239
0.761 0.239 0.761
0.761 0.761 0.239
0.761 0.761 0.761
0.000 0.000 0.500
0.000 0.500 0.000
0.500 0.000 0.000
0.000 0.000 0.000
0.000 0.500 0.500
0.500 0.000 0.500
0.500 0.500 0.000
0.000 0.000 0.245
0.000 0.000 0.755
0.000 0.245 0.000
0.000 0.255 0.500
0.000 0.500 0.255
0.000 0.500 0.745
0.000 0.745 0.500
0.000 0.755 0.000
0.245 0.000 0.000
0.255 0.000 0.500
0.255 0.500 0.000
0.500 0.000 0.255
0.500 0.000 0.745
0.500 0.255 0.000
0.500 0.745 0.000
0.745 0.000 0.500
0.745 0.500 0.000
0.755 0.000 0.000
```

Fermi-level density of states = 22.19 states/eV/cell
formation energy without anion corrections = -2.285 eV per atom

***

(14)
The following is a DFT calculation (PBE) of a geometry-optimized BaScPtO6 structure.

Geometry as POSCAR:
```
BaScPtO6
1.0
5.426 0.000 0.000
-2.713 4.699 0.000
0.000 0.000 5.777
Ba Sc Pt O
1 1 1 6
Direct
0.000 0.000 0.000
0.333 0.667 0.500
0.667 0.333 0.500
0.388 0.022 0.693
0.388 0.366 0.307
0.634 0.022 0.307
0.634 0.612 0.693
0.978 0.366 0.693
0.978 0.612 0.307
```

Fermi-level density of states = 5.47 states/eV/cell
formation energy without anion corrections = -1.654 eV per atom

***

(15)
The following is a DFT calculation (PBE) of a geometry-optimized Ba2ScPt3O12 structure.

Geometry as POSCAR:
```
Ba2ScPt3O12
1.0
3.621 2.091 5.774
-3.621 2.091 5.774
0.000 -4.181 5.774
Ba Sc Pt O
2 1 3 12
Direct
0.120 0.120 0.120
0.880 0.880 0.880
0.500 0.500 0.500
0.000 0.500 0.500
0.500 0.000 0.500
0.500 0.500 0.000
0.142 0.598 0.598
0.179 0.179 0.610
0.179 0.610 0.179
0.390 0.821 0.821
0.402 0.402 0.858
0.402 0.858 0.402
0.598 0.142 0.598
0.598 0.598 0.142
0.610 0.179 0.179
0.821 0.390 0.821
0.821 0.821 0.390
0.858 0.402 0.402
```

Fermi-level density of states = 14.59 states/eV/cell
formation energy without anion corrections = -1.279 eV per atom

***

(16)
The following is a DFT calculation (PBE) of a geometry-optimized BaSc4Pt3O12 structure.

Geometry as POSCAR:
```
BaSc4Pt3O12
1.0
-3.969 3.969 3.969
3.969 -3.969 3.969
3.969 3.969 -3.969
Ba Sc Pt O
1 4 3 12
Direct
0.000 0.000 0.000
0.000 0.000 0.500
0.000 0.500 0.000
0.500 0.000 0.000
0.500 0.500 0.500
0.000 0.500 0.500
0.500 0.000 0.500
0.500 0.500 0.000
0.143 0.828 0.315
0.172 0.315 0.487
0.172 0.685 0.857
0.315 0.143 0.828
0.315 0.487 0.172
0.487 0.172 0.315
0.513 0.828 0.685
0.685 0.513 0.828
0.685 0.857 0.172
0.828 0.315 0.143
0.828 0.685 0.513
0.857 0.172 0.685
```

Fermi-level density of states = 7.82 states/eV/cell
formation energy without anion corrections = -2.138 eV per atom

***

(17)
The following is a DFT calculation (PBE) of a geometry-optimized BaSm2PtO5 structure.

Geometry as POSCAR:
```
BaSm2PtO5
1.0
-3.355 3.355 6.219
3.355 -3.355 6.219
3.355 3.355 -6.219
Ba Sm Pt O
2 4 2 10
Direct
0.250 0.250 0.000
0.750 0.750 0.000
0.173 0.673 0.846
0.327 0.173 0.500
0.673 0.827 0.500
0.827 0.327 0.154
0.250 0.750 0.500
0.750 0.250 0.500
0.000 0.000 0.000
0.021 0.247 0.500
0.247 0.747 0.227
0.253 0.479 0.500
0.479 0.979 0.227
0.500 0.500 0.000
0.521 0.021 0.773
0.747 0.521 0.500
0.753 0.253 0.773
0.979 0.753 0.500
```

formation energy without anion corrections = -2.370 eV per atom
offset from the most stable computed form = 251 meV per atom

***

(18)
The following is a DFT calculation (PBE) of a geometry-optimized BaSm2PtO5 structure.

Geometry as POSCAR:
```
BaSm2PtO5
1.0
6.744 0.000 0.000
0.000 6.744 0.000
0.000 0.000 5.974
Ba Sm Pt O
2 4 2 10
Direct
0.000 0.000 0.000
0.500 0.500 0.000
0.175 0.325 0.500
0.325 0.825 0.500
0.675 0.175 0.500
0.825 0.675 0.500
0.000 0.500 0.000
0.500 0.000 0.000
0.000 0.000 0.500
0.139 0.639 0.257
0.139 0.639 0.743
0.361 0.139 0.257
0.361 0.139 0.743
0.500 0.500 0.500
0.639 0.861 0.257
0.639 0.861 0.743
0.861 0.361 0.257
0.861 0.361 0.743
```

Fermi-level density of states = 0.00 states/eV/cell
formation energy without anion corrections = -2.621 eV per atom
offset from the most stable computed form = 0 meV per atom